[1]
## Te2PbAu2 (GGA-PBE)

Data for Te2PbAu2 after structural relaxation.

Calculated values
total magnetization = 0.00 μB/cell
distance to the lowest polymorph of the same formula = 2.2 kJ per mole of atoms
E_tot = -3.309 eV/atom
formation energy without anion corrections = 0.00 eV per atom

```
data_Te2PbAu2
_cell_length_a 8.062
_cell_length_b 8.062
_cell_length_c 3.910
_cell_angle_alpha 90.00
_cell_angle_beta 90.00
_cell_angle_gamma 90.00
_symmetry_space_group_name_H-M 'P 4/m b m'
_symmetry_Int_Tables_number 127
_symmetry_space_group_name_Hall '-P 4 2ab'
loop_
_atom_site_label
_atom_site_fract_x
_atom_site_fract_y
_atom_site_fract_z
Te1 0.188 0.312 0.000
Pb1 0.000 0.000 0.500
Au1 0.121 0.621 0.500
```

***

[2]
## TePb2Au (GGA-PBE)

Data for TePb2Au after structural relaxation.

Calculated values
total magnetization = 0.00 μB/cell
E_tot = -3.555 eV/atom
formation energy without anion corrections = -0.10 eV per atom

```
data_TePb2Au
_cell_length_a 14.904
_cell_length_b 4.168
_cell_length_c 4.089
_cell_angle_alpha 90.00
_cell_angle_beta 105.86
_cell_angle_gamma 90.00
_symmetry_space_group_name_H-M 'C 1 m 1'
_symmetry_Int_Tables_number 8
loop_
_symmetry_equiv_pos_as_xyz
'x,y,z'
'x,-y,z'
'x+1/2,y+1/2,z'
'x+1/2,-y+1/2,z'
loop_
_atom_site_label
_atom_site_fract_x
_atom_site_fract_y
_atom_site_fract_z
Te1 0.000 0.000 0.000
Pb1 0.178 0.000 0.677
Pb2 0.401 0.000 0.401
Au1 0.241 0.500 0.239
```

***

[3]
## Te2PbAu (GGA-PBE)

Data for Te2PbAu after structural relaxation.

Calculated values
total magnetization = 0.00 μB/cell
E_tot = -3.193 eV/atom
formation energy without anion corrections = 0.12 eV per atom

```
data_Te2PbAu
_cell_length_a 4.118
_cell_length_b 4.118
_cell_length_c 6.556
_cell_angle_alpha 90.00
_cell_angle_beta 90.00
_cell_angle_gamma 90.00
_symmetry_space_group_name_H-M 'P 4/m m m'
_symmetry_Int_Tables_number 123
_symmetry_space_group_name_Hall '-P 4 2'
loop_
_atom_site_label
_atom_site_fract_x
_atom_site_fract_y
_atom_site_fract_z
Te1 0.000 0.000 0.232
Pb1 0.500 0.500 0.500
Au1 0.500 0.500 0.000
```